Entry 1:
First-principles (PBE) data for an optimized crystal structure of CsBaAlSe3, as listed in Alexandria via LeMat-Bulk.

abc: 17.209 5.276 9.811
angles: 90.00 105.35 90.00
Space group C2/m (No. 12)
One atom of each set of equivalent atoms:
Cs1 0.146 0.000 0.066
Ba1 0.148 0.000 0.573
Al1 0.007 0.500 0.283
Se1 0.003 0.000 0.283
Se2 0.137 0.500 0.786
Se3 0.151 0.500 0.348

Calculated values
ΔE_f (raw) (eV/atom): -1.2104
DFT total energy (eV per atom): -4.04
Total magnetic moment (μB/f.u.): 0.00
V (Å³/cell): 859.0



Entry 2:
First-principles (PBE) data for an optimized crystal structure of NaLiTeI2, as listed in Alexandria via LeMat-Bulk.

abc: 5.743 5.743 5.220
angles: 90.00 90.00 90.00
Space group P4/mmm (No. 123)
One atom of each set of equivalent atoms:
Na1 0.000 0.000 0.000
Li1 0.500 0.500 0.500
Te1 0.500 0.500 0.000
I1 0.000 0.500 0.500

Calculated values
ΔE_f (raw) (eV/atom): -0.4751
DFT total energy (eV per atom): -2.37
ΔE to the lowest computed polymorph (meV/atom): 0.0
Total magnetic moment (μB/f.u.): 0.67
V (Å³/cell): 172.1



Among the records above, which one has the lowest V? NaLiTeI2



Which of these has the highest V? CsBaAlSe3



Copy entry 1 word for word.
First-principles (PBE) data for an optimized crystal structure of CsBaAlSe3, as listed in Alexandria via LeMat-Bulk.

abc: 17.209 5.276 9.811
angles: 90.00 105.35 90.00
Space group C2/m (No. 12)
One atom of each set of equivalent atoms:
Cs1 0.146 0.000 0.066
Ba1 0.148 0.000 0.573
Al1 0.007 0.500 0.283
Se1 0.003 0.000 0.283
Se2 0.137 0.500 0.786
Se3 0.151 0.500 0.348

Calculated values
ΔE_f (raw) (eV/atom): -1.2104
DFT total energy (eV per atom): -4.04
Total magnetic moment (μB/f.u.): 0.00
V (Å³/cell): 859.0



V of number 1 (CsBaAlSe3)? 859.0 Å³/cell